Entry 1:
Here is a geometry-optimized TbPm5Sn5 structure from Alexandria. Energies are from PBE.

* energy relative to the elements: -483 meV/atom
* magnetization: 0.45 μB per cell

Cell: 6.3034 8.5442 7.4692 Å, 103.09 90.00 111.65°
With the nearest neighbours (Å) after each atom.
Fractional positions:
1 Tb 0.0000 0.0000 0.0000  6 Sn 3.13-3.16
2 Pm 0.6690 0.3379 0.3259  5 Sn 3.15-3.18
3 Pm 0.6634 0.3268 0.8257  5 Sn 3.15-3.23
4 Pm 0.0000 0.0000 0.5000  4 Sn 3.16-3.20
5 Pm 0.3366 0.6732 0.1743  5 Sn 3.15-3.23
6 Pm 0.3310 0.6621 0.6741  5 Sn 3.15-3.18
7 Sn 0.8344 0.6687 0.1567  1 Tb 3.13, 5 Pm 3.15-3.20
8 Sn 0.8347 0.6695 0.6643  5 Pm 3.15-3.23, 1 Tb 3.16
9 Sn 0.5000 0.0000 0.0000  2 Tb 3.15, 4 Pm 3.15-3.17
10 Sn 0.1653 0.3305 0.3357  5 Pm 3.15-3.23, 1 Tb 3.16
11 Sn 0.1656 0.3313 0.8433  1 Tb 3.13, 5 Pm 3.15-3.20



Entry 2:
Here is a geometry-optimized TbPm5Sn6 structure from Alexandria. Energies are from PBE.

* energy relative to the elements: -645 meV/atom
* magnetization: 0.00 μB per cell

Cell: 9.4054 5.8096 7.7632 Å, 68.03 80.65 64.26°
With the nearest neighbours (Å) after each atom.
Fractional positions:
1 Tb 0.0000 0.0000 0.0000  6 Sn 3.19-3.20
2 Pm 0.5000 0.1693 0.6615  6 Sn 3.23-3.26
3 Pm 0.0000 0.3357 0.3287  6 Sn 3.23-3.26
4 Pm 0.5000 0.5000 0.0000  6 Sn 3.23-3.31
5 Pm 0.0000 0.6643 0.6713  6 Sn 3.23-3.26
6 Pm 0.5000 0.8307 0.3385  6 Sn 3.23-3.26
7 Sn 0.7535 0.0779 0.3300  1 Tb 3.19, 5 Pm 3.23-3.26
8 Sn 0.2465 0.5921 0.3300  1 Tb 3.19, 5 Pm 3.23-3.26
9 Sn 0.2524 0.2325 0.0000  1 Tb 3.20, 5 Pm 3.23-3.31
10 Sn 0.7476 0.7675 0.0000  1 Tb 3.20, 5 Pm 3.23-3.31
11 Sn 0.7535 0.4079 0.6700  1 Tb 3.19, 5 Pm 3.23-3.26
12 Sn 0.2465 0.9221 0.6700  1 Tb 3.19, 5 Pm 3.23-3.26



Entry 3:
Here is a geometry-optimized TbPm8Sn6 structure from Alexandria. Energies are from PBE.

* energy relative to the elements: -568 meV/atom
* magnetization: 0.00 μB per cell

Cell: 9.2743 9.2743 8.4863 Å, 56.88 56.88 60.00°
With the nearest neighbours (Å) after each atom.
Fractional positions:
1 Tb 0.0000 0.0000 0.0000  6 Sn 3.33, 6 Pm 3.73
2 Pm 0.5598 0.2309 0.3130  5 Sn 3.17-3.39
3 Pm 0.7691 0.1036 0.6870  5 Sn 3.17-3.39
4 Pm 0.1036 0.4402 0.6870  5 Sn 3.17-3.39
5 Pm 0.6663 0.6663 0.0012  6 Sn 3.37-3.38, 6 Pm 3.71
6 Pm 0.3337 0.3337 0.9988  6 Sn 3.37-3.38, 6 Pm 3.71
7 Pm 0.8964 0.5598 0.3130  5 Sn 3.17-3.39
8 Pm 0.2309 0.8964 0.3130  5 Sn 3.17-3.39
9 Pm 0.4402 0.7691 0.6870  5 Sn 3.17-3.39
10 Sn 0.3968 0.0674 0.7985  7 Pm 3.17-3.39, 1 Tb 3.33
11 Sn 0.9326 0.2627 0.2015  7 Pm 3.17-3.39, 1 Tb 3.33
12 Sn 0.2627 0.6032 0.2015  7 Pm 3.17-3.39, 1 Tb 3.33
13 Sn 0.7373 0.3968 0.7985  7 Pm 3.17-3.39, 1 Tb 3.33
14 Sn 0.0674 0.7373 0.7985  7 Pm 3.17-3.39, 1 Tb 3.33
15 Sn 0.6032 0.9326 0.2015  7 Pm 3.17-3.39, 1 Tb 3.33



Entry 4:
Here is a geometry-optimized Tb2Pm3Sn4 structure from Alexandria. Energies are from PBE.

* energy relative to the elements: -603 meV/atom
* magnetization: 0.61 μB per cell

Cell: 4.8751 6.2268 10.0585 Å, 96.70 90.00 113.05°
With the nearest neighbours (Å) after each atom.
Fractional positions:
1 Tb 0.3225 0.6449 0.1890  5 Sn 3.11-3.16
2 Tb 0.6775 0.3551 0.8110  5 Sn 3.11-3.16
3 Pm 0.3738 0.7476 0.5826  6 Sn 3.09-3.45
4 Pm 0.0000 0.0000 0.0000  4 Sn 3.13
5 Pm 0.6262 0.2524 0.4174  6 Sn 3.09-3.45
6 Sn 0.6512 0.3024 0.1146  3 Pm 3.09-3.13, 3 Tb 3.11-3.16
7 Sn 0.0885 0.1769 0.6309  1 Sn 3.11, 2 Tb 3.13, 5 Pm 3.31-3.45
8 Sn 0.9115 0.8231 0.3691  1 Sn 3.11, 2 Tb 3.13, 5 Pm 3.31-3.45
9 Sn 0.3488 0.6976 0.8854  3 Pm 3.09-3.13, 3 Tb 3.11-3.16



Entry 5:
Here is a geometry-optimized Tb2PmSn9 structure from Alexandria. Energies are from PBE.

* energy relative to the elements: -455 meV/atom
* magnetization: 0.00 μB per cell

Cell: 4.8050 4.8050 13.7858 Å, 90.00 90.00 90.00°
With the nearest neighbours (Å) after each atom.
Fractional positions:
1 Tb 0.0000 0.0000 0.3343  12 Sn 3.31-3.40
2 Tb 0.0000 0.0000 0.6657  12 Sn 3.31-3.40
3 Pm 0.0000 0.0000 0.0000  12 Sn 3.35-3.40
4 Sn 0.5000 0.5000 0.0000  8 Sn 3.35, 4 Pm 3.40
5 Sn 0.5000 0.5000 0.3347  8 Sn 3.31, 4 Tb 3.40
6 Sn 0.5000 0.5000 0.6653  8 Sn 3.31, 4 Tb 3.40
7 Sn 0.5000 0.0000 0.1693  2 Tb 3.31, 8 Sn 3.31-3.40, 2 Pm 3.35
8 Sn 0.5000 0.0000 0.5000  8 Sn 3.31-3.40, 4 Tb 3.31
9 Sn 0.5000 0.0000 0.8307  2 Tb 3.31, 8 Sn 3.31-3.40, 2 Pm 3.35
10 Sn 0.0000 0.5000 0.1693  2 Tb 3.31, 8 Sn 3.31-3.40, 2 Pm 3.35
11 Sn 0.0000 0.5000 0.5000  8 Sn 3.31-3.40, 4 Tb 3.31
12 Sn 0.0000 0.5000 0.8307  2 Tb 3.31, 8 Sn 3.31-3.40, 2 Pm 3.35



Entry 6:
Here is a geometry-optimized TbPm8Sn2 structure from Alexandria. Energies are from PBE.

* energy relative to the elements: -180 meV/atom
* magnetization: 0.00 μB per cell

Cell: 6.4093 8.9776 8.9776 Å, 44.81 94.33 94.33°
With the nearest neighbours (Å) after each atom.
Fractional positions:
1 Tb 0.0000 0.0000 0.0000  10 Pm 3.43-3.77
2 Pm 0.4051 0.3536 0.8448  2 Sn 3.21-3.28, 2 Pm 3.36-3.48, 1 Tb 3.43
3 Pm 0.5949 0.1552 0.6464  2 Sn 3.21-3.28, 2 Pm 3.36-3.48, 1 Tb 3.43
4 Pm 0.1664 0.7889 0.7889  2 Sn 3.21-3.37
5 Pm 0.8336 0.2111 0.2111  2 Sn 3.21-3.37
6 Pm 0.4051 0.8448 0.3536  2 Sn 3.21-3.28, 2 Pm 3.36-3.48, 1 Tb 3.43
7 Pm 0.5949 0.6464 0.1552  2 Sn 3.21-3.28, 2 Pm 3.36-3.48, 1 Tb 3.43
8 Pm 0.8985 0.5835 0.5835  1 Sn 3.14, 1 Pm 3.16
9 Pm 0.1015 0.4165 0.4165  1 Sn 3.14, 1 Pm 3.16
10 Sn 0.6692 0.7436 0.7436  7 Pm 3.14-3.37
11 Sn 0.3308 0.2564 0.2564  7 Pm 3.14-3.37



Entry 7:
Here is a geometry-optimized Tb3Pm2Sn2 structure from Alexandria. Energies are from PBE.

* energy relative to the elements: -286 meV/atom
* magnetization: 0.44 μB per cell

Cell: 3.5320 8.0536 8.8996 Å, 119.48 101.45 90.00°
With the nearest neighbours (Å) after each atom.
Fractional positions:
1 Tb 0.0000 0.5000 0.0000  4 Sn 3.21, 4 Tb 3.23-3.53, 2 Pm 3.45
2 Tb 0.2125 0.7830 0.4250  5 Tb 3.23-3.53, 3 Sn 3.25-3.33, 2 Pm 3.61
3 Tb 0.7875 0.2170 0.5750  5 Tb 3.23-3.53, 3 Sn 3.25-3.33, 2 Pm 3.61
4 Pm 0.8821 0.7384 0.7641  4 Sn 3.28-3.51, 4 Tb 3.45-3.66, 2 Pm 3.53
5 Pm 0.1179 0.2616 0.2359  4 Sn 3.28-3.51, 4 Tb 3.45-3.66, 2 Pm 3.53
6 Sn 0.5794 0.8846 0.1589  5 Tb 3.21-3.33, 4 Pm 3.28-3.51, 2 Sn 3.53
7 Sn 0.4206 0.1154 0.8411  5 Tb 3.21-3.33, 4 Pm 3.28-3.51, 2 Sn 3.53



Entry 8:
Here is a geometry-optimized Tb2PmSn structure from Alexandria. Energies are from PBE.

* energy relative to the elements: -321 meV/atom
* magnetization: 0.00 μB per cell

Cell: 4.1175 4.1175 6.9877 Å, 90.00 90.00 90.00°
With the nearest neighbours (Å) after each atom.
Fractional positions:
1 Tb 0.0000 0.0000 0.7205  1 Tb 3.08, 4 Sn 3.29
2 Tb 0.0000 0.0000 0.2795  1 Tb 3.08, 4 Sn 3.29
3 Sn 0.5000 0.5000 0.5000  8 Tb 3.29, 2 Pm 3.49
4 Pm 0.5000 0.5000 0.0000  2 Sn 3.49, 8 Tb 3.51



Entry 9:
Here is a geometry-optimized Tb2PmSn structure from Alexandria. Energies are from PBE.

* energy relative to the elements: -388 meV/atom
* magnetization: 0.00 μB per cell

Cell: 5.2203 6.9097 6.8187 Å, 77.18 90.00 90.00°
With the nearest neighbours (Å) after each atom.
Fractional positions:
1 Tb 0.7500 0.3671 0.9181  3 Sn 3.32-3.45, 4 Pm 3.37-3.72, 5 Tb 3.51-3.65
2 Tb 0.2500 0.6329 0.0819  3 Sn 3.32-3.45, 4 Pm 3.37-3.72, 5 Tb 3.51-3.65
3 Tb 0.2500 0.1162 0.7327  3 Sn 3.13-3.32
4 Tb 0.7500 0.8838 0.2673  3 Sn 3.13-3.32
5 Pm 0.2500 0.6502 0.5848  8 Tb 3.37-3.72, 3 Sn 3.42-3.75, 2 Pm 3.68
6 Pm 0.7500 0.3498 0.4152  8 Tb 3.37-3.72, 3 Sn 3.42-3.75, 2 Pm 3.68
7 Sn 0.7500 0.8596 0.7867  6 Tb 3.13-3.45, 2 Pm 3.42
8 Sn 0.2500 0.1404 0.2133  6 Tb 3.13-3.45, 2 Pm 3.42



Entry 10:
Here is a geometry-optimized Tb2PmSn2 structure from Alexandria. Energies are from PBE.

* energy relative to the elements: -611 meV/atom
* magnetization: 0.00 μB per cell

Cell: 4.9078 6.5547 9.6818 Å, 90.00 104.68 90.00°
With the nearest neighbours (Å) after each atom.
Fractional positions:
1 Tb 0.9997 0.7272 0.9994  4 Sn 3.25-3.26, 2 Tb 3.28, 4 Pm 3.56-3.57
2 Tb 0.8132 0.4763 0.6263  6 Sn 3.22-3.29
3 Tb 0.1868 0.9763 0.3737  6 Sn 3.22-3.29
4 Tb 0.0003 0.2272 0.0006  4 Sn 3.25-3.26, 2 Tb 3.28, 4 Pm 3.56-3.57
5 Pm 0.3931 0.9776 0.7862  5 Sn 3.03-3.38
6 Pm 0.6069 0.4776 0.2138  5 Sn 3.03-3.38
7 Sn 0.4264 0.4772 0.8528  6 Tb 3.24-3.26, 3 Pm 3.33-3.38
8 Sn 0.7978 0.9760 0.5956  2 Pm 3.03, 4 Tb 3.22-3.29
9 Sn 0.2022 0.4760 0.4044  2 Pm 3.03, 4 Tb 3.22-3.29
10 Sn 0.5736 0.9772 0.1472  6 Tb 3.24-3.26, 3 Pm 3.33-3.38



Entry 11:
Here is a geometry-optimized Tb2PmSn structure from Alexandria. Energies are from PBE.

* energy relative to the elements: -218 meV/atom
* magnetization: 0.00 μB per cell

Cell: 3.6029 3.6029 11.1588 Å, 80.71 80.71 60.00°
With the nearest neighbours (Å) after each atom.
Fractional positions:
1 Tb 0.0772 0.0772 0.7683  3 Sn 3.29, 3 Pm 3.60, 6 Tb 3.60
2 Tb 0.2563 0.2563 0.2311  3 Sn 3.27, 6 Tb 3.60, 3 Pm 3.61
3 Pm 0.5000 0.5000 0.5001  6 Tb 3.60-3.61, 6 Pm 3.60
4 Sn 0.6665 0.6665 0.0006  6 Tb 3.27-3.29, 6 Sn 3.60



Entry 12:
Here is a geometry-optimized Tb2Pm8Sn structure from Alexandria. Energies are from PBE.

* energy relative to the elements: -117 meV/atom
* magnetization: 0.00 μB per cell

Cell: 4.9936 8.0764 9.5127 Å, 104.84 105.22 90.00°
With the nearest neighbours (Å) after each atom.
Fractional positions:
1 Tb 0.7762 0.3670 0.5524  10 Pm 3.56-3.67, 2 Tb 3.59
2 Tb 0.2238 0.6330 0.4476  10 Pm 3.56-3.67, 2 Tb 3.59
3 Pm 0.4103 0.5604 0.8207  1 Sn 3.49, 8 Pm 3.51-3.69, 3 Tb 3.56-3.62
4 Pm 0.6776 0.9073 0.3553  8 Pm 3.53-3.69, 1 Sn 3.53, 3 Tb 3.59-3.67
5 Pm 0.8636 0.8221 0.7272  7 Pm 3.52-3.66, 2 Sn 3.56, 3 Tb 3.60-3.62
6 Pm 0.9569 0.2680 0.9137  9 Pm 3.51-3.69, 2 Sn 3.53, 1 Tb 3.61
7 Pm 0.1364 0.1779 0.2728  7 Pm 3.52-3.66, 2 Sn 3.56, 3 Tb 3.60-3.62
8 Pm 0.3224 0.0927 0.6447  8 Pm 3.53-3.69, 1 Sn 3.53, 3 Tb 3.59-3.67
9 Pm 0.5897 0.4396 0.1793  1 Sn 3.49, 8 Pm 3.51-3.69, 3 Tb 3.56-3.62
10 Pm 0.0431 0.7320 0.0863  9 Pm 3.51-3.69, 2 Sn 3.53, 1 Tb 3.61
11 Sn 0.5000 0.0000 0.0000  12 Pm 3.49-3.56